{"formula": "Ho4GeAs2P", "functional": "PBE-GGA", "state": "relaxed", "cell": [[4.044, 0.000, 0.000], [0.000, 7.119, 0.158], [0.000, -2.454, 6.607]], "species": ["As", "As", "Ho", "Ho", "Ho", "Ho", "P", "Ge"], "fractional_positions": [[0.500, 0.000, 0.500], [0.000, 0.500, 0.500], [0.000, 0.756, 0.250], [0.500, 0.756, 0.755], [0.500, 0.244, 0.245], [0.000, 0.244, 0.750], [0.000, 0.000, 0.000], [0.500, 0.500, 0.000]], "e_form_mev_per_atom": -1313}

---

{"formula": "Nd3CSe2", "functional": "PBE-GGA", "state": "relaxed", "cell": [[-5.670, 3.354, 2.725], [-2.237, -4.951, -4.615], [3.453, -7.330, 9.909]], "species": ["Nd", "Nd", "Nd", "Nd", "Nd", "Nd", "Nd", "Nd", "Nd", "Nd", "Nd", "Nd", "Se", "Se", "Se", "Se", "Se", "Se", "Se", "Se", "C", "C", "C", "C"], "fractional_positions": [[0.376, 0.409, 0.319], [0.943, 0.910, 0.319], [0.307, 0.840, 0.181], [0.090, 0.057, 0.681], [0.874, 0.341, 0.181], [0.160, 0.693, 0.819], [0.038, 0.538, 0.500], [0.788, 0.788, 0.000], [0.591, 0.624, 0.681], [0.212, 0.212, 0.000], [0.659, 0.126, 0.819], [0.462, 0.962, 0.500], [0.671, 0.171, 0.341], [0.829, 0.329, 0.659], [0.421, 0.421, 0.841], [0.579, 0.579, 0.159], [0.253, 0.253, 0.507], [0.747, 0.747, 0.493], [0.503, 0.003, 0.007], [0.997, 0.497, 0.993], [0.166, 0.666, 0.332], [0.916, 0.916, 0.832], [0.334, 0.834, 0.668], [0.084, 0.084, 0.168]], "formation_energy_uncorrected_ev_per_atom": -1.32}

---

{"formula": "W3BrN", "functional": "PBE-GGA", "state": "relaxed", "cell": [[-2.851, -0.185, -3.091], [0.643, -4.146, -0.345], [-3.029, -0.705, 2.836]], "species": ["W", "W", "W", "Br", "N"], "fractional_positions": [[0.500, 0.000, 0.000], [0.000, 0.000, 0.500], [0.000, 0.500, 0.000], [0.500, 0.500, 0.500], [0.000, 0.000, 0.000]], "formation_energy_uncorrected_ev_per_atom": 0.97}

---

{"formula": "CsPuMnBr6", "functional": "PBE-GGA", "state": "relaxed", "cell": [[-0.842, 3.437, -6.424], [0.551, -3.761, -6.274], [-7.894, -1.523, 0.220]], "species": ["Br", "Br", "Br", "Br", "Br", "Br", "Pu", "Cs", "Mn"], "fractional_positions": [[0.981, 0.634, 0.697], [0.384, 0.981, 0.697], [0.384, 0.634, 0.303], [0.634, 0.384, 0.697], [0.981, 0.384, 0.303], [0.634, 0.981, 0.303], [0.333, 0.333, 0.500], [0.000, 0.000, 0.000], [0.666, 0.667, 0.500]], "formation_energy_uncorrected_ev_per_atom": -1.35}

---

| no. | volume (Å³ per cell) | D(E_F) (states/eV/atom) |
| --- | --- | --- |
| 1 | 191.8 | 0.446 |
| 2 | 582.1 | 0.209 |
| 3 | 74.6 | 0.564 |
| 4 | 374.7 | 1.315 |